No. 1
The following is a DFT calculation (PBE) of an optimized crystal structure of AcIn5Rh.

Calculated values
Space group = P4/mmm (123)
Crystal system = tetragonal
Calculated formation energy = -39.1 kJ per mole of atoms

a = 4.805 Å, b = 4.805 Å, c = 7.837 Å
α = 90.00°, β = 90.00°, γ = 90.00°
Sites, in units of the cell vectors:
Ac (0.000, 0.000, 0.000)
In (0.000, 0.500, 0.312)
In (0.000, 0.500, 0.688)
In (0.500, 0.000, 0.312)
In (0.500, 0.000, 0.688)
In (0.500, 0.500, 0.000)
Rh (0.000, 0.000, 0.500)

=====

No. 2
The following is a DFT calculation (PBE) of an optimized crystal structure of BeZn2Cd.

Calculated values
Space group = Imm2 (44)
Crystal system = orthorhombic
Calculated formation energy = 14.6 kJ per mole of atoms

a = 2.655 Å, b = 4.001 Å, c = 12.147 Å
α = 90.00°, β = 90.00°, γ = 90.00°
Sites, in units of the cell vectors:
Be (0.000, 0.000, 0.000)
Be (0.500, 0.500, 0.500)
Zn (0.000, 0.000, 0.494)
Zn (0.000, 0.500, 0.330)
Zn (0.500, 0.000, 0.830)
Zn (0.500, 0.500, 0.994)
Cd (0.000, 0.500, 0.694)
Cd (0.500, 0.000, 0.194)

=====

No. 3
The following is a DFT calculation (PBE) of an optimized crystal structure of NaRuC2.

Calculated values
Space group = I4_1/amd (141)
Crystal system = tetragonal
Calculated formation energy = 79.9 kJ per mole of atoms

a = 5.013 Å, b = 5.013 Å, c = 11.207 Å
α = 90.00°, β = 90.00°, γ = 90.00°
Sites, in units of the cell vectors:
Na (0.000, 0.250, 0.375)
Na (0.000, 0.750, 0.625)
Na (0.500, 0.250, 0.125)
Na (0.500, 0.750, 0.875)
Ru (0.000, 0.250, 0.875)
Ru (0.000, 0.750, 0.125)
Ru (0.500, 0.250, 0.625)
Ru (0.500, 0.750, 0.375)
C (0.000, 0.000, 0.000)
C (0.000, 0.500, 0.000)
C (0.250, 0.250, 0.750)
C (0.250, 0.750, 0.250)
C (0.500, 0.000, 0.500)
C (0.500, 0.500, 0.500)
C (0.750, 0.250, 0.750)
C (0.750, 0.750, 0.250)

=====

No. 4
The following is a DFT calculation (PBE) of an optimized crystal structure of Pr4Br3N2.

Calculated values
Space group = C2/m (12)
Crystal system = monoclinic
ΔE_f (raw) = -1.403 eV/atom

a = 7.670 Å, b = 7.670 Å, c = 8.802 Å
α = 102.91°, β = 102.91°, γ = 27.20°
Sites, in units of the cell vectors:
Pr (0.095, 0.095, 0.215)
Pr (0.316, 0.316, 0.399)
Pr (0.684, 0.684, 0.601)
Pr (0.905, 0.905, 0.785)
Br (0.000, 0.000, 0.500)
Br (0.406, 0.406, 0.095)
Br (0.594, 0.594, 0.905)
N (0.301, 0.301, 0.683)
N (0.699, 0.699, 0.317)

=====

No. 5
The following is a DFT calculation (PBE) of an optimized crystal structure of TbCe2SiC.

Calculated values
Space group = Cmcm (63)
Crystal system = orthorhombic
ΔE_f (raw) = -0.171 eV/atom

a = 7.403 Å, b = 7.403 Å, c = 8.373 Å
α = 90.00°, β = 90.00°, γ = 151.49°
Sites, in units of the cell vectors:
Tb (0.042, 0.958, 0.750)
Tb (0.958, 0.042, 0.250)
Ce (0.346, 0.654, 0.583)
Ce (0.346, 0.654, 0.917)
Ce (0.654, 0.346, 0.083)
Ce (0.654, 0.346, 0.417)
Si (0.290, 0.710, 0.250)
Si (0.710, 0.290, 0.750)
C (0.500, 0.500, 0.000)
C (0.500, 0.500, 0.500)

=====

No. 6
The following is a DFT calculation (PBE) of an optimized crystal structure of Be2CoSi.

Calculated values
Space group = P2/m (10)
Crystal system = monoclinic
ΔE_f (raw) = -0.116 eV/atom

a = 2.514 Å, b = 3.795 Å, c = 4.200 Å
α = 90.00°, β = 94.78°, γ = 90.00°
Sites, in units of the cell vectors:
Be (0.126, 0.000, 0.277)
Be (0.874, 0.000, 0.723)
Co (0.500, 0.500, 0.500)
Si (0.000, 0.500, 0.000)

=====

No. 7
The following is a DFT calculation (PBE) of an optimized crystal structure of Ac2ZrNpN6.

Calculated values
Space group = P2_1/c (14)
Crystal system = monoclinic
ΔE_f (raw) = -1.152 eV/atom

a = 6.063 Å, b = 5.957 Å, c = 10.407 Å
α = 90.00°, β = 125.53°, γ = 90.00°
Sites, in units of the cell vectors:
Ac (0.244, 0.003, 0.250)
Ac (0.244, 0.497, 0.750)
Ac (0.756, 0.503, 0.250)
Ac (0.756, 0.997, 0.750)
Zr (0.500, 0.000, 0.000)
Zr (0.500, 0.500, 0.500)
Np (0.000, 0.000, 0.500)
Np (0.000, 0.500, 0.000)
N (0.198, 0.247, 0.458)
N (0.198, 0.253, 0.958)
N (0.205, 0.740, 0.958)
N (0.205, 0.760, 0.458)
N (0.320, 0.001, 0.743)
N (0.320, 0.499, 0.243)
N (0.680, 0.501, 0.757)
N (0.680, 0.999, 0.257)
N (0.795, 0.240, 0.542)
N (0.795, 0.260, 0.042)
N (0.802, 0.747, 0.042)
N (0.802, 0.753, 0.542)

=====

No. 8
The following is a DFT calculation (PBE) of an optimized crystal structure of Li2ScTa.

Calculated values
Space group = I-4m2 (119)
Crystal system = tetragonal
Calculated formation energy = 59.9 kJ per mole of atoms

a = 4.038 Å, b = 4.038 Å, c = 8.808 Å
α = 90.00°, β = 90.00°, γ = 90.00°
Sites, in units of the cell vectors:
Li (0.000, 0.000, 0.000)
Li (0.000, 0.500, 0.250)
Li (0.500, 0.000, 0.750)
Li (0.500, 0.500, 0.500)
Sc (0.000, 0.500, 0.750)
Sc (0.500, 0.000, 0.250)
Ta (0.000, 0.000, 0.500)
Ta (0.500, 0.500, 0.000)

=====

No. 9
The following is a DFT calculation (PBE) of an optimized crystal structure of Si7W6.

Calculated values
Space group = R-3m (166)
Crystal system = trigonal
ΔE_f (raw) = 0.190 eV/atom

a = 9.473 Å, b = 9.473 Å, c = 9.473 Å
α = 29.57°, β = 29.57°, γ = 29.57°
Sites, in units of the cell vectors:
Si (0.000, 0.000, 0.000)
Si (0.086, 0.086, 0.589)
Si (0.086, 0.589, 0.086)
Si (0.411, 0.914, 0.914)
Si (0.589, 0.086, 0.086)
Si (0.914, 0.411, 0.914)
Si (0.914, 0.914, 0.411)
W (0.170, 0.170, 0.170)
W (0.335, 0.335, 0.335)
W (0.451, 0.451, 0.451)
W (0.549, 0.549, 0.549)
W (0.665, 0.665, 0.665)
W (0.830, 0.830, 0.830)

=====

No. 10
The following is a DFT calculation (PBE) of an optimized crystal structure of SrMg2Al2Ag.

Calculated values
Space group = P4/mmm (123)
Crystal system = tetragonal
Calculated formation energy = 3.2 kJ per mole of atoms

a = 5.014 Å, b = 5.014 Å, c = 6.345 Å
α = 90.00°, β = 90.00°, γ = 90.00°
Sites, in units of the cell vectors:
Sr (0.000, 0.000, 0.000)
Mg (0.500, 0.500, 0.239)
Mg (0.500, 0.500, 0.761)
Al (0.000, 0.500, 0.500)
Al (0.500, 0.000, 0.500)
Ag (0.000, 0.000, 0.500)

=====

No. 11
The following is a DFT calculation (PBE) of an optimized crystal structure of TmPu2Hg4.

Calculated values
Space group = I4/mmm (139)
Crystal system = tetragonal
Calculated formation energy = -13.7 kJ per mole of atoms

a = 5.053 Å, b = 5.053 Å, c = 14.984 Å
α = 90.00°, β = 90.00°, γ = 90.00°
Sites, in units of the cell vectors:
Tm (0.000, 0.000, 0.000)
Tm (0.500, 0.500, 0.500)
Pu (0.000, 0.000, 0.254)
Pu (0.000, 0.000, 0.746)
Pu (0.500, 0.500, 0.246)
Pu (0.500, 0.500, 0.754)
Hg (0.000, 0.500, 0.111)
Hg (0.000, 0.500, 0.389)
Hg (0.000, 0.500, 0.611)
Hg (0.000, 0.500, 0.889)
Hg (0.500, 0.000, 0.111)
Hg (0.500, 0.000, 0.389)
Hg (0.500, 0.000, 0.611)
Hg (0.500, 0.000, 0.889)

=====

No. 12
The following is a DFT calculation (PBE) of an optimized crystal structure of Pm2GaAg3.

Calculated values
Space group = Pmm2 (25)
Crystal system = orthorhombic
Calculated formation energy = -35.1 kJ per mole of atoms

a = 3.520 Å, b = 4.701 Å, c = 8.325 Å
α = 90.00°, β = 90.00°, γ = 90.00°
Sites, in units of the cell vectors:
Pm (0.000, 0.000, 0.000)
Pm (0.000, 0.500, 0.497)
Ga (0.500, 0.000, 0.329)
Ag (0.500, 0.000, 0.655)
Ag (0.500, 0.500, 0.173)
Ag (0.500, 0.500, 0.836)

=====

no.,total magnetic moment (μB/atom),N(E_F) (states/eV per atom)
1,0.000,0.329
2,0.000,0.227
3,0.000,0.215
4,0.000,0.306
5,0.000,1.198
6,0.000,0.442
7,0.000,0.683
8,0.207,1.146
9,0.000,0.568
10,0.000,0.411
11,1.661,2.383
12,0.000,0.670